{
  "formula": "NiI2O6",
  "functional": "PBE with a Hubbard U",
  "state": "relaxed",
  "cell": [[-0.462, 1.679, 5.028], [4.776, -2.380, 1.233], [4.463, 7.894, -2.227]],
  "species": ["Ni", "Ni", "I", "I", "I", "I", "O", "O", "O", "O", "O", "O", "O", "O", "O", "O", "O", "O"],
  "fractional_positions": [[0.414, 0.268, 0.753], [0.914, 0.732, 0.247], [0.488, 0.764, 0.566], [0.988, 0.236, 0.434], [0.016, 0.773, 0.900], [0.516, 0.227, 0.100], [0.202, 0.150, 0.581], [0.702, 0.850, 0.419], [0.200, 0.059, 0.901], [0.700, 0.941, 0.099], [0.633, 0.968, 0.701], [0.133, 0.032, 0.299], [0.131, 0.644, 0.069], [0.631, 0.356, 0.931], [0.206, 0.594, 0.771], [0.706, 0.406, 0.229], [0.146, 0.521, 0.378], [0.646, 0.479, 0.622]],
  "sg": "P2_1 (4)",
  "e_tot_ev_per_atom": -4.46,
  "polymorph_energy_ev_per_fu": 0.00
}